# 1
Computed, not measured: a relaxed structure of CaFe2Ru at the PBE-GGA level of DFT.

```
data_CaFe2Ru
_symmetry_space_group_name_H-M 'I m m 2'
_symmetry_Int_Tables_number 44
_symmetry_space_group_name_Hall 'I 2 -2'
_cell_length_a 2.875
_cell_length_b 4.699
_cell_length_c 9.301
_cell_angle_alpha 90.00
_cell_angle_beta 90.00
_cell_angle_gamma 90.00
loop_
_atom_site_label
_atom_site_type_symbol
_atom_site_fract_x
_atom_site_fract_y
_atom_site_fract_z
Ca1 Ca 0.000 0.000 0.000
Fe1 Fe 0.000 0.000 0.497
Fe2 Fe 0.000 0.500 0.780
Ru1 Ru 0.000 0.500 0.221
```

Values from the calculation:
DFT formation energy = 44.5 kJ per mole of atoms
total energy = -52.719 eV per cell



# 2
Computed, not measured: a relaxed structure of CaFeRu3 at the PBE-GGA level of DFT.

```
data_CaFeRu3
_symmetry_space_group_name_H-M 'P m -3 m'
_symmetry_Int_Tables_number 221
_symmetry_space_group_name_Hall '-P 4 2 3'
_cell_length_a 4.561
_cell_length_b 4.561
_cell_length_c 4.561
_cell_angle_alpha 90.00
_cell_angle_beta 90.00
_cell_angle_gamma 90.00
loop_
_atom_site_label
_atom_site_type_symbol
_atom_site_fract_x
_atom_site_fract_y
_atom_site_fract_z
Ca1 Ca 0.000 0.000 0.000
Fe1 Fe 0.500 0.500 0.500
Ru1 Ru 0.000 0.000 0.500
```

Values from the calculation:
DFT formation energy = 264.5 kJ per mole of atoms
total energy = -24.585 eV per cell
energy above the lowest structure with this stoichiometry = 1.9027 eV per atom



# 3
Computed, not measured: a relaxed structure of CaFe2Ru at the PBE-GGA level of DFT.

```
data_CaFe2Ru
_symmetry_space_group_name_H-M 'P m m m'
_symmetry_Int_Tables_number 47
_symmetry_space_group_name_Hall '-P 2 2'
_cell_length_a 3.238
_cell_length_b 4.393
_cell_length_c 4.438
_cell_angle_alpha 90.00
_cell_angle_beta 90.00
_cell_angle_gamma 90.00
loop_
_atom_site_label
_atom_site_type_symbol
_atom_site_fract_x
_atom_site_fract_y
_atom_site_fract_z
Ca1 Ca 0.000 0.000 0.000
Fe1 Fe 0.000 0.500 0.500
Fe2 Fe 0.500 0.000 0.500
Ru1 Ru 0.500 0.500 0.000
```

Values from the calculation:
DFT formation energy = 56.2 kJ per mole of atoms
total energy = -25.873 eV per cell



Calculated volume (computed, Å³/cell): 125.7 94.9 63.1
Size of the total moment (computed, μB/f.u.): 5.15 1.56 6.06
Density of states at the Fermi level (computed, states/eV per cell): 7.7 10.1 5.3